(1)
# PBE Ba5InS6, relaxed
# ΔE_f (raw) = -1.73 eV per atom
# volume = 773.6 Å³/cell
# theoretical density = 4.266 Mg/m³
# DOS(E_F) = 0.53 states/eV per atom
data_Ba5InS6
_space_group_name_H-M_alt 'C 1 2/m 1'
_space_group_IT_number 12
_cell_length_a 7.7956
_cell_length_b 13.5055
_cell_length_c 7.7913
_cell_angle_alpha 90.00
_cell_angle_beta 109.42
_cell_angle_gamma 90.00
loop_
_space_group_symop_operation_xyz
'x,y,z'
'-x,-y,-z'
'-x,y,-z'
'x,-y,z'
'x+1/2,y+1/2,z'
'-x+1/2,-y+1/2,-z'
'-x+1/2,y+1/2,-z'
'x+1/2,-y+1/2,z'
loop_
_atom_site_label
_atom_site_type_symbol
_atom_site_fract_x
_atom_site_fract_y
_atom_site_fract_z
_atom_site_occupancy
Ba1 Ba 0.0000 0.0000 0.0000 1
Ba2 Ba 0.0000 0.1671 0.5000 1
Ba3 Ba 0.0000 0.3348 0.0000 1
In1 In 0.0000 0.5000 0.5000 1
S1 S 0.2417 0.5000 0.2564 1
S2 S 0.2437 0.3384 0.7453 1

***

(2)
# PBE Ba2InSbS5, relaxed
# ΔE_f (raw) = -1.21 eV per atom
# volume = 1002.0 Å³/cell
# theoretical density = 4.452 Mg/m³
data_Ba2InSbS5
_space_group_name_H-M_alt 'C m c 21'
_space_group_IT_number 36
_cell_length_a 4.1853
_cell_length_b 18.5470
_cell_length_c 12.9076
_cell_angle_alpha 90.00
_cell_angle_beta 90.00
_cell_angle_gamma 90.00
loop_
_space_group_symop_operation_xyz
'x,y,z'
'-x,-y,z+1/2'
'-x,y,z'
'x,-y,z+1/2'
'x+1/2,y+1/2,z'
'-x+1/2,-y+1/2,z+1/2'
'-x+1/2,y+1/2,z'
'x+1/2,-y+1/2,z+1/2'
loop_
_atom_site_label
_atom_site_type_symbol
_atom_site_fract_x
_atom_site_fract_y
_atom_site_fract_z
_atom_site_occupancy
Ba1 Ba 0.0000 0.1129 0.0000 1
Ba2 Ba 0.0000 0.1305 0.6214 1
In1 In 0.0000 0.4408 0.7609 1
Sb1 Sb 0.0000 0.2180 0.3357 1
S1 S 0.0000 0.0437 0.3681 1
S2 S 0.0000 0.2830 0.9733 1
S3 S 0.0000 0.3135 0.6843 1
S4 S 0.0000 0.3517 0.3138 1
S5 S 0.0000 0.4966 0.0935 1